The following is a PBE-GGA calculation of a relaxed structure of CaYP2O8, from Alexandria.

abc: 5.3653 5.3653 7.0418
angles: 90.00 90.00 120.00
Space group P-3m1 (No. 164)
Inequivalent atoms, fractional coordinates:
Ca: 0.0000 0.0000 0.0000
Y: 0.0000 0.0000 0.5000
P: 0.3333 0.6667 0.7905
O: 0.1758 0.3516 0.7189
O: 0.3333 0.6667 0.0097

## Properties
The value obtained for the magnetization is 1.01 Bohr magnetons per cell. The formation energy without anion corrections is -60.3 kcal/mol of atoms.